Below is a geometry-optimized Fe2ReAu structure, with properties calculated at the PBE level.

abc: 2.736 3.680 5.578
angles: 90.00 90.00 90.00
Sites, in units of the cell vectors:
Fe 0.000 0.000 0.217
Fe 0.000 0.000 0.783
Re 0.500 0.500 0.000
Au 0.500 0.500 0.500

**Formation energy**: 226 meV/atom
**Crystal system**: orthorhombic
**E above lowest polymorph**: 0.16 eV per formula unit

---

Below is a geometry-optimized Fe2ReAu structure, with properties calculated at the PBE level.

abc: 4.697 4.697 4.620
angles: 102.42 102.42 33.98
Sites, in units of the cell vectors:
Fe 0.000 0.000 0.000
Fe 0.730 0.730 0.257
Re 0.478 0.478 0.459
Au 0.242 0.242 0.762

**Formation energy**: 303 meV/atom
**Crystal system**: monoclinic
**E above lowest polymorph**: 0.47 eV per formula unit